No. 1
Entry from the Alexandria database: a relaxed Tm4Th2Sc5 crystal (PBE). Values from VASP.

Summary:
Crystal system: monoclinic
Space group: No. 12

Quantum ESPRESSO input file:
```
&SYSTEM
  ibrav = 0, nat = 11, ntyp = 3
/
ATOMIC_SPECIES
Tm 168.93 Tm.upf
Th 232.04 Th.upf
Sc 44.96 Sc.upf
ATOMIC_POSITIONS crystal
Tm 0.1693 0.1693 0.0321
Tm 0.2160 0.2160 0.6897
Tm 0.7840 0.7840 0.3103
Tm 0.8307 0.8307 0.9679
Th 0.1336 0.1336 0.3906
Th 0.8664 0.8664 0.6094
Sc 0.4152 0.4152 0.2266
Sc 0.4550 0.4550 0.8696
Sc 0.5000 0.5000 0.5000
Sc 0.5450 0.5450 0.1304
Sc 0.5848 0.5848 0.7734
CELL_PARAMETERS angstrom
8.0269 -1.6985 0.0000
8.0269 1.6985 0.0000
-7.3781 0.0000 11.3343
```



No. 2
Entry from the Alexandria database: a relaxed TmTh2Sc4 crystal (PBE). Values from VASP.

Summary:
Crystal system: orthorhombic
Space group: No. 55
Relative energy among the computed polymorphs: 0 meV/atom

Quantum ESPRESSO input file:
```
&SYSTEM
  ibrav = 0, nat = 28, ntyp = 3
/
ATOMIC_SPECIES
Tm 168.93 Tm.upf
Th 232.04 Th.upf
Sc 44.96 Sc.upf
ATOMIC_POSITIONS crystal
Tm 0.1254 0.1761 0.0000
Tm 0.3746 0.6761 0.0000
Tm 0.6254 0.3239 0.0000
Tm 0.8746 0.8239 0.0000
Th 0.1127 0.8920 0.5000
Th 0.1181 0.4504 0.0000
Th 0.3819 0.9504 0.0000
Th 0.3873 0.3920 0.5000
Th 0.6127 0.6080 0.5000
Th 0.6181 0.0496 0.0000
Th 0.8819 0.5496 0.0000
Th 0.8873 0.1080 0.5000
Sc 0.1211 0.3111 0.5000
Sc 0.1237 0.7460 0.0000
Sc 0.1302 0.0297 0.0000
Sc 0.1441 0.6034 0.5000
Sc 0.3559 0.1034 0.5000
Sc 0.3698 0.5297 0.0000
Sc 0.3763 0.2460 0.0000
Sc 0.3789 0.8111 0.5000
Sc 0.6211 0.1889 0.5000
Sc 0.6237 0.7540 0.0000
Sc 0.6302 0.4703 0.0000
Sc 0.6441 0.8966 0.5000
Sc 0.8559 0.3966 0.5000
Sc 0.8698 0.9703 0.0000
Sc 0.8763 0.2540 0.0000
Sc 0.8789 0.6889 0.5000
CELL_PARAMETERS angstrom
10.9089 0.0000 0.0000
0.0000 20.9698 0.0000
0.0000 0.0000 3.3790
```



Magnetic moment (computed, μB per cell): 0.0 0.0
ΔH_f (0 K) (computed, eV per formula unit): 0.430 0.407